Entry 1:
This record from the Alexandria database describes a relaxed LiYIn2 crystal. The functional is PBE-GGA.

For the formation energy from the elements, the calculation gives -20 kJ/mol of formula units. As for the crystal system: trigonal. The value obtained for the magnetization is 0.00 μB/f.u.

The space group is R3m (No. 160, hexagonal axes) and the conventional cell measures 3.4159, 3.4159 and 31.1432 Å, with angles of 90.00, 90.00 and 120.00 degrees. Symmetry generates all atoms from Li at (0.0000, 0.0000, 0.0000), Y at (0.0000, 0.0000, 0.7583), In at (0.0000, 0.0000, 0.2591) and In at (0.0000, 0.0000, 0.5112).

Entry 2:
This record from the Alexandria database describes a relaxed BeIrF crystal. The functional is PBE-GGA.

Its energy above the most stable polymorph in this dataset is 1.865 eV/atom. As for the crystal system: cubic. The value obtained for the magnetization is 0.97 μB/f.u.

The space group is F-43m (No. 216) and the conventional cell measures 5.4362, 5.4362 and 5.4362 Å, with angles of 90.00, 90.00 and 90.00 degrees. Symmetry generates all atoms from Be at (0.0000, 0.0000, 0.0000), Ir at (0.2500, 0.2500, 0.2500) and F at (0.0000, 0.0000, 0.5000).

Entry 3:
This record from the Alexandria database describes a relaxed Zr3Pa2N4 crystal. The functional is PBE-GGA.

As for the crystal system: monoclinic. The calculation puts the uncorrected energy at -90.80 eV/f.u. The value obtained for the magnetization is 0.00 μB/f.u.

The space group is C2/m (No. 12) and the conventional cell measures 10.8352, 3.2648 and 8.2115 Å, with angles of 90.00, 116.07 and 90.00 degrees. Symmetry generates all atoms from Zr at (0.0000, 0.0000, 0.0000), Zr at (0.2152, 0.0000, 0.8186), Pa at (0.0900, 0.5000, 0.4061), N at (0.0996, 0.5000, 0.8990) and N at (0.1867, 0.0000, 0.2847).

Entry 4:
This record from the Alexandria database describes a relaxed IrRuCl2 crystal. The functional is PBE-GGA.

Its energy above the most stable polymorph in this dataset is 0.584 eV/atom. As for the crystal system: trigonal. The value obtained for the magnetization is 0.91 μB/f.u.

The space group is R-3m (No. 166, hexagonal axes) and the conventional cell measures 2.9951, 2.9951 and 25.0804 Å, with angles of 90.00, 90.00 and 120.00 degrees. Symmetry generates all atoms from Ir at (0.0000, 0.0000, 0.0000), Ru at (0.0000, 0.0000, 0.5000) and Cl at (0.0000, 0.0000, 0.0915).

Entry 5:
This record from the Alexandria database describes a relaxed YZnHg crystal. The functional is PBE-GGA.

For the formation energy from the elements, the calculation gives -118 kJ/mol of formula units. As for the crystal system: orthorhombic. The value obtained for the magnetization is 0.00 μB/f.u.

The space group is Pmma (No. 51) and the conventional cell measures 13.5753, 3.8368 and 7.6729 Å, with angles of 90.00, 90.00 and 90.00 degrees. Symmetry generates all atoms from Y at (0.0475, 0.0000, 0.2478), Y at (0.2500, 0.0000, 0.8449), Zn at (0.0878, 0.5000, 0.9482), Zn at (0.2500, 0.0000, 0.4393), Hg at (0.1137, 0.5000, 0.5810) and Hg at (0.2500, 0.5000, 0.1729).

Entry 6:
This record from the Alexandria database describes a relaxed PmMg2PaN4 crystal. The functional is PBE-GGA.

As for the crystal system: monoclinic. The calculation puts the uncorrected energy at -60.27 eV/f.u. The value obtained for the magnetization is 0.00 μB/f.u.

The space group is P2/m (No. 10) and the conventional cell measures 5.6085, 3.5110 and 6.0346 Å, with angles of 90.00, 110.37 and 90.00 degrees. Symmetry generates all atoms from Pm at (0.0000, 0.0000, 0.0000), Mg at (0.5000, 0.0000, 0.5000), Mg at (0.5000, 0.5000, 0.0000), Pa at (0.0000, 0.5000, 0.5000), N at (0.2406, 0.5000, 0.2699) and N at (0.2444, 0.0000, 0.7334).

Entry 7:
This record from the Alexandria database describes a relaxed MgAlAs3 crystal. The functional is PBE-GGA.

For the formation energy from the elements, the calculation gives 183 kJ/mol of formula units. Its energy above the most stable polymorph in this dataset is 0.000 eV/atom. As for the crystal system: cubic. The value obtained for the magnetization is 0.00 μB/f.u.

The space group is Pm-3m (No. 221) and the conventional cell measures 4.8777, 4.8777 and 4.8777 Å, with angles of 90.00, 90.00 and 90.00 degrees. Symmetry generates all atoms from Mg at (0.0000, 0.0000, 0.0000), Al at (0.5000, 0.5000, 0.5000) and As at (0.0000, 0.5000, 0.5000).

Entry 8:
This record from the Alexandria database describes a relaxed MnCdGaCu crystal. The functional is PBE-GGA.

For the formation energy from the elements, the calculation gives 46 kJ/mol of formula units. As for the crystal system: cubic. The value obtained for the magnetization is 3.38 μB/f.u.

The space group is F-43m (No. 216) and the conventional cell measures 6.2995, 6.2995 and 6.2995 Å, with angles of 90.00, 90.00 and 90.00 degrees. Symmetry generates all atoms from Mn at (0.0000, 0.0000, 0.0000), Cd at (0.2500, 0.2500, 0.2500), Ga at (0.2500, 0.2500, 0.7500) and Cu at (0.0000, 0.0000, 0.5000).

Entry 9:
This record from the Alexandria database describes a relaxed RbLiAsS2 crystal. The functional is PBE-GGA.

As for the crystal system: orthorhombic. The calculation puts the uncorrected energy at -18.70 eV/f.u. The value obtained for the magnetization is 0.00 μB/f.u.

The space group is Cmme (No. 67) and the conventional cell measures 5.3877, 14.5298 and 6.4101 Å, with angles of 90.00, 90.00 and 90.00 degrees. Symmetry generates all atoms from Rb at (0.0000, 0.2500, 0.2429), Li at (0.2500, 0.0000, 0.0000), As at (0.0000, 0.0000, 0.5000) and S at (0.0000, 0.1078, 0.7880).

Entry 10:
This record from the Alexandria database describes a relaxed Tb3Pr12Sm crystal. The functional is PBE-GGA.

For the formation energy from the elements, the calculation gives 19 kJ/mol of formula units. As for the crystal system: tetragonal. The value obtained for the magnetization is 0.00 μB/f.u.

The space group is P4/mmm (No. 123) and the conventional cell measures 5.2058, 5.2058 and 20.7793 Å, with angles of 90.00, 90.00 and 90.00 degrees. Symmetry generates all atoms from Tb at (0.0000, 0.0000, 0.0000), Tb at (0.0000, 0.0000, 0.2493), Pr at (0.0000, 0.5000, 0.1247), Pr at (0.0000, 0.5000, 0.3741), Pr at (0.5000, 0.5000, 0.0000), Pr at (0.5000, 0.5000, 0.2491), Pr at (0.5000, 0.5000, 0.5000) and Sm at (0.0000, 0.0000, 0.5000).

Entry 11:
This record from the Alexandria database describes a relaxed SmTiGaIr2 crystal. The functional is PBE-GGA.

For the formation energy from the elements, the calculation gives -379 kJ/mol of formula units. As for the crystal system: tetragonal. The value obtained for the magnetization is 0.00 μB/f.u.

The space group is I-4m2 (No. 119) and the conventional cell measures 4.0373, 4.0373 and 11.6712 Å, with angles of 90.00, 90.00 and 90.00 degrees. Symmetry generates all atoms from Sm at (0.0000, 0.0000, 0.0000), Ti at (0.0000, 0.5000, 0.7500), Ga at (0.0000, 0.5000, 0.2500) and Ir at (0.0000, 0.0000, 0.3869).

Question: The highest magnetization belongs to which entry?
Answer: MnCdGaCu